No. 1
Computed, not measured: an optimized crystal structure of TiInRu3 at the PBE level of DFT.

a b c (Å): 4.5312 4.5312 4.5312
angles (deg): 90.00 90.00 90.00
Last column: nearest neighbours and their distance in Å.
Space group Pm-3m (No. 221)
Inequivalent atoms, fractional coordinates:
1 Ti 0.0000 0.0000 0.0000  6 Ru 2.27
2 In 0.5000 0.5000 0.5000  12 Ru 3.20
3 Ru 0.0000 0.0000 0.5000  2 Ti 2.27

**Excess energy over the best structure of this formula in the dataset**: 0.0 meV per atom
**Formation energy from the elements**: 0.889 eV per atom
**Density of states at the Fermi level**: 5.3 states/eV per cell
**Electronic total energy**: -6.803 eV/atom



No. 2
Computed, not measured: an optimized crystal structure of Zn3Cu2Pd4 at the PBE level of DFT.

a b c (Å): 4.2841 4.2841 8.0022
angles (deg): 90.00 90.00 120.00
Last column: nearest neighbours and their distance in Å.
Space group P-3m1 (No. 164)
Inequivalent atoms, fractional coordinates:
1 Zn 0.0000 0.0000 0.0000  8 Pd 2.61-2.62
2 Zn 0.3333 0.6667 0.4416  4 Pd 2.64-2.67, 3 Zn 2.64, 1 Cu 2.66
3 Cu 0.3333 0.6667 0.7736  7 Pd 2.60-2.67, 1 Zn 2.66
4 Pd 0.0000 0.0000 0.3262  3 Cu 2.60, 4 Zn 2.61-2.64, 1 Pd 2.78
5 Pd 0.3333 0.6667 0.1078  4 Zn 2.62-2.67, 4 Cu 2.65-2.67

**Formation energy from the elements**: -0.358 eV per atom
**Density of states at the Fermi level**: 2.3 states/eV per cell
**Electronic total energy**: -4.001 eV/atom



No. 3
Computed, not measured: an optimized crystal structure of Ir2RhBr at the PBE level of DFT.

a b c (Å): 2.7980 4.7107 4.8136
angles (deg): 90.00 90.00 90.00
Last column: nearest neighbours and their distance in Å.
Space group Pmmm (No. 47)
Inequivalent atoms, fractional coordinates:
1 Ir 0.0000 0.0000 0.0000  6 Ir 2.74-2.80, 4 Br 2.78
2 Ir 0.5000 0.5000 0.0000  6 Ir 2.74-2.80, 4 Rh 2.78
3 Rh 0.0000 0.5000 0.5000  4 Br 2.74, 4 Ir 2.78, 2 Rh 2.80
4 Br 0.5000 0.0000 0.5000  4 Rh 2.74, 4 Ir 2.78, 2 Br 2.80

**Excess energy over the best structure of this formula in the dataset**: 373.6 meV per atom
**Density of states at the Fermi level**: 6.2 states/eV per cell
**Electronic total energy**: -5.850 eV/atom
**Uncorrected formation energy**: 0.836 eV per atom



No. 4
Computed, not measured: an optimized crystal structure of Dy2SiRh at the PBE level of DFT.

a b c (Å): 5.6577 4.1629 7.9141
angles (deg): 90.00 109.40 90.00
Last column: nearest neighbours and their distance in Å.
Space group P2_1/m (No. 11)
Inequivalent atoms, fractional coordinates:
1 Dy 0.1970 0.2500 0.4167  3 Rh 2.96-2.99, 4 Si 2.97-3.01
2 Dy 0.2799 0.7500 0.0643  4 Rh 2.95-3.09, 3 Si 3.01-3.05
3 Si 0.3614 0.7500 0.7077  2 Rh 2.55
4 Rh 0.1567 0.2500 0.7836  2 Si 2.55

**Density of states at the Fermi level**: 5.5 states/eV per cell
**Electronic total energy**: -6.328 eV/atom
**Uncorrected formation energy**: -0.834 eV per atom



No. 5
Computed, not measured: an optimized crystal structure of RbCo2Ir at the PBE level of DFT.

a b c (Å): 6.4715 6.4715 6.4715
angles (deg): 90.00 90.00 90.00
Last column: nearest neighbours and their distance in Å.
Space group Fm-3m (No. 225)
Inequivalent atoms, fractional coordinates:
1 Rb 0.0000 0.0000 0.0000  8 Co 2.80
2 Co 0.2500 0.2500 0.2500  4 Rb 2.80, 4 Ir 2.80
3 Ir 0.0000 0.0000 0.5000  8 Co 2.80

**Excess energy over the best structure of this formula in the dataset**: 337.1 meV per atom
**Formation energy from the elements**: 1.372 eV per atom
**Density of states at the Fermi level**: 9.1 states/eV per cell
**Electronic total energy**: -4.638 eV/atom



No. 6
Computed, not measured: an optimized crystal structure of SrBiPb2Au2 at the PBE level of DFT.

a b c (Å): 5.7541 5.7541 12.1700
angles (deg): 90.00 90.00 90.00
Last column: nearest neighbours and their distance in Å.
Space group I4/mmm (No. 139)
Inequivalent atoms, fractional coordinates:
1 Sr 0.0000 0.0000 0.0000  2 Au 3.16
2 Bi 0.0000 0.0000 0.5000  2 Au 2.93
3 Pb 0.0000 0.5000 0.2500  4 Au 2.88
4 Au 0.0000 0.0000 0.2594  4 Pb 2.88, 1 Bi 2.93, 1 Sr 3.16

**Formation energy from the elements**: -0.146 eV per atom
**Density of states at the Fermi level**: 6.6 states/eV per cell
**Electronic total energy**: -3.402 eV/atom



No. 7
Computed, not measured: an optimized crystal structure of ScMnAsBr2 at the PBE level of DFT.

a b c (Å): 4.9527 4.9527 5.1705
angles (deg): 90.00 90.00 90.00
Last column: nearest neighbours and their distance in Å.
Space group P4/mmm (No. 123)
Inequivalent atoms, fractional coordinates:
1 Sc 0.0000 0.0000 0.0000  4 As 3.50, 8 Br 3.58
2 Mn 0.5000 0.5000 0.5000  4 Br 2.48, 2 As 2.59
3 As 0.5000 0.5000 0.0000  2 Mn 2.59
4 Br 0.0000 0.5000 0.5000  2 Mn 2.48

**Excess energy over the best structure of this formula in the dataset**: 149.5 meV per atom
**Density of states at the Fermi level**: 4.1 states/eV per cell
**Electronic total energy**: -4.793 eV/atom
**Uncorrected formation energy**: -0.093 eV per atom



No. 8
Computed, not measured: an optimized crystal structure of Ti3Nb5 at the PBE level of DFT.

a b c (Å): 5.4045 14.1712 8.1321
angles (deg): 90.00 109.40 90.00
Last column: nearest neighbours and their distance in Å.
Space group C2 (No. 5)
Inequivalent atoms, fractional coordinates:
1 Ti 0.0000 0.0000 0.0000  4 Nb 2.73-2.94, 2 Ti 3.05
2 Ti 0.0000 0.2511 0.5000  4 Nb 2.73-2.94, 2 Ti 3.04
3 Ti 0.0495 0.8073 0.8482  5 Nb 2.66-2.79, 1 Ti 2.69
4 Ti 0.2022 0.0586 0.6501  5 Nb 2.66-2.80, 1 Ti 2.68
5 Nb 0.0000 0.5289 0.0000  4 Ti 2.73-2.80, 4 Nb 2.79-2.89
6 Nb 0.0000 0.7770 0.5000  4 Ti 2.73-2.79, 4 Nb 2.78-2.89
7 Nb 0.0263 0.3722 0.2125  2 Ti 2.66-2.94, 3 Nb 2.70-2.79
8 Nb 0.1655 0.1920 0.8881  4 Nb 2.69-2.95, 3 Ti 2.73-2.76
9 Nb 0.1885 0.6211 0.7125  2 Ti 2.66-2.94, 3 Nb 2.69-2.78
10 Nb 0.2200 0.9411 0.3878  4 Nb 2.70-2.97, 3 Ti 2.73-2.76

**Excess energy over the best structure of this formula in the dataset**: 154.9 meV per atom
**Formation energy from the elements**: 0.245 eV per atom
**Density of states at the Fermi level**: 41.1 states/eV per cell
**Electronic total energy**: -9.009 eV/atom



No. 9
Computed, not measured: an optimized crystal structure of SmTm4Se5 at the PBE level of DFT.

a b c (Å): 4.0406 4.0406 28.7765
angles (deg): 90.00 90.00 90.00
Last column: nearest neighbours and their distance in Å.
Space group I4/mmm (No. 139)
Inequivalent atoms, fractional coordinates:
1 Sm 0.0000 0.0000 0.0000  6 Se 2.86-2.99
2 Tm 0.0000 0.0000 0.2049  6 Se 2.83-2.91
3 Tm 0.0000 0.0000 0.4031  6 Se 2.79-2.87
4 Se 0.0000 0.0000 0.1040  5 Tm 2.86-2.91, 1 Sm 2.99
5 Se 0.0000 0.0000 0.3032  6 Tm 2.83-2.87
6 Se 0.0000 0.0000 0.5000  2 Tm 2.79, 4 Sm 2.86

**Density of states at the Fermi level**: 9.1 states/eV per cell
**Electronic total energy**: -5.686 eV/atom
**Uncorrected formation energy**: -1.683 eV per atom



No. 10
Computed, not measured: an optimized crystal structure of PuScMnCu at the PBE level of DFT.

a b c (Å): 6.6709 6.6709 6.6709
angles (deg): 90.00 90.00 90.00
Last column: nearest neighbours and their distance in Å.
Space group F-43m (No. 216)
Inequivalent atoms, fractional coordinates:
1 Pu 0.0000 0.0000 0.0000  4 Cu 2.89, 4 Mn 2.89
2 Sc 0.0000 0.0000 0.5000  4 Mn 2.89, 4 Cu 2.89
3 Mn 0.2500 0.2500 0.7500  4 Sc 2.89, 4 Pu 2.89
4 Cu 0.2500 0.2500 0.2500  4 Sc 2.89, 4 Pu 2.89

**Formation energy from the elements**: 0.041 eV per atom
**Density of states at the Fermi level**: 31.0 states/eV per cell
**Electronic total energy**: -8.441 eV/atom



No. 11
Computed, not measured: an optimized crystal structure of BeCSeN2 at the PBE level of DFT.

a b c (Å): 3.1233 3.1233 7.4931
angles (deg): 90.00 90.00 90.00
Last column: nearest neighbours and their distance in Å.
Space group P4/mmm (No. 123)
Inequivalent atoms, fractional coordinates:
1 Be 0.0000 0.0000 0.0000  4 N 1.56
2 C 0.5000 0.5000 0.5000  4 Se 2.21
3 Se 0.0000 0.0000 0.5000  4 C 2.21
4 N 0.0000 0.5000 0.0000  2 Be 1.56

**Excess energy over the best structure of this formula in the dataset**: 101.9 meV per atom
**Density of states at the Fermi level**: 2.3 states/eV per cell
**Electronic total energy**: -4.808 eV/atom
**Uncorrected formation energy**: 1.809 eV per atom



No. 12
Computed, not measured: an optimized crystal structure of HoSc12Tl3 at the PBE level of DFT.

a b c (Å): 4.5458 4.5458 18.5475
angles (deg): 90.00 90.00 90.00
Last column: nearest neighbours and their distance in Å.
Space group P4/mmm (No. 123)
Inequivalent atoms, fractional coordinates:
1 Ho 0.0000 0.0000 0.0000  12 Sc 3.21-3.34
2 Sc 0.0000 0.5000 0.1319  8 Sc 3.21-3.34, 2 Tl 3.24, 2 Ho 3.34
3 Sc 0.0000 0.5000 0.3780  8 Sc 3.19-3.21, 4 Tl 3.20-3.21
4 Sc 0.5000 0.5000 0.0000  4 Ho 3.21, 8 Sc 3.34
5 Sc 0.5000 0.5000 0.2570  8 Sc 3.19-3.25, 4 Tl 3.21
6 Sc 0.5000 0.5000 0.5000  8 Sc 3.21, 4 Tl 3.21
7 Tl 0.0000 0.0000 0.2564  12 Sc 3.20-3.24
8 Tl 0.0000 0.0000 0.5000  12 Sc 3.21

**Formation energy from the elements**: -0.127 eV per atom
**Density of states at the Fermi level**: 23.3 states/eV per cell
**Electronic total energy**: -5.605 eV/atom